(1)
The following is a PBE calculation of a geometry-optimized Rb2CrCdN structure, from the Alexandria database. Values from VASP.

Quantum ESPRESSO input file:
```
&SYSTEM
  ibrav = 0, nat = 5, ntyp = 4
/
ATOMIC_SPECIES
Rb 85.47 Rb.upf
Cr 52.00 Cr.upf
Cd 112.41 Cd.upf
N 14.01 N.upf
ATOMIC_POSITIONS crystal
Rb 0.0000 0.5000 0.0000
Rb 0.5000 0.0000 0.0000
Cr 0.0000 0.0000 0.5000
Cd 0.5000 0.5000 0.5000
N 0.5000 0.5000 0.0000
CELL_PARAMETERS angstrom
6.4512 0.0000 0.0000
0.0000 6.4512 0.0000
0.0000 0.0000 4.0886
```

Output
- Uncorrected formation energy: 811 meV per atom

***

(2)
The following is a PBE calculation of a geometry-optimized CrCdSN2 structure, from the Alexandria database. Values from VASP.

Quantum ESPRESSO input file:
```
&SYSTEM
  ibrav = 0, nat = 5, ntyp = 4
/
ATOMIC_SPECIES
Cr 52.00 Cr.upf
Cd 112.41 Cd.upf
S 32.06 S.upf
N 14.01 N.upf
ATOMIC_POSITIONS crystal
Cr 0.0000 0.0000 0.0000
Cd 0.5000 0.5000 0.5000
S 0.0000 0.0000 0.5000
N 0.0000 0.5000 0.0000
N 0.5000 0.0000 0.0000
CELL_PARAMETERS angstrom
3.6992 0.0000 0.0000
0.0000 3.6992 0.0000
0.0000 0.0000 5.2007
```

Output
- Relative energy among the computed polymorphs: 0 meV per atom
- Uncorrected formation energy: 308 meV per atom

***

(3)
The following is a PBE calculation of a geometry-optimized CrCdS2N structure, from the Alexandria database. Values from VASP.

Quantum ESPRESSO input file:
```
&SYSTEM
  ibrav = 0, nat = 5, ntyp = 4
/
ATOMIC_SPECIES
Cr 52.00 Cr.upf
Cd 112.41 Cd.upf
S 32.06 S.upf
N 14.01 N.upf
ATOMIC_POSITIONS crystal
Cr 0.0000 0.0000 0.0000
Cd 0.5000 0.5000 0.5000
S 0.0000 0.5000 0.0000
S 0.5000 0.0000 0.0000
N 0.0000 0.0000 0.5000
CELL_PARAMETERS angstrom
4.8086 0.0000 0.0000
0.0000 4.8086 0.0000
0.0000 0.0000 3.5394
```

Output
- Relative energy among the computed polymorphs: 0 meV per atom
- Uncorrected formation energy: 30 meV per atom

***

(4)
The following is a PBE calculation of a geometry-optimized CrCdSN2 structure, from the Alexandria database. Values from VASP.

Quantum ESPRESSO input file:
```
&SYSTEM
  ibrav = 0, nat = 5, ntyp = 4
/
ATOMIC_SPECIES
Cr 52.00 Cr.upf
Cd 112.41 Cd.upf
S 32.06 S.upf
N 14.01 N.upf
ATOMIC_POSITIONS crystal
Cr 0.0000 0.0000 0.0000
Cd 0.5000 0.5000 0.5000
S 0.5000 0.5000 0.0000
N 0.0000 0.5000 0.5000
N 0.5000 0.0000 0.5000
CELL_PARAMETERS angstrom
4.1647 0.0000 0.0000
0.0000 4.1647 0.0000
0.0000 0.0000 5.3324
```

Output
- Relative energy among the computed polymorphs: 1419 meV per atom
- Uncorrected formation energy: 1727 meV per atom

***

no.,electronic total energy (eV per atom)
1,-3.35
2,-5.96
3,-5.39
4,-4.54